Record 1
A geometry-optimized Na3CeRh2S6 structure. Source: Alexandria via LeMat-Bulk, functional PBE.

a = 6.3517 Å, b = 6.3517 Å, c = 7.1025 Å
α = 98.71°, β = 98.71°, γ = 120.03°
Last column: magnetic moment on the atom in μB.
Sites, in units of the cell vectors:
Ce: 0.0000 0.0000 0.0000  0.46
S: 0.5577 0.9296 0.7919  0.00
S: 0.6987 0.6987 0.2083  0.00
S: 0.0704 0.4423 0.2081  0.00
S: 0.4423 0.0704 0.2081  0.00
S: 0.3013 0.3013 0.7917  0.00
S: 0.9296 0.5577 0.7919  0.00
Na: 0.8405 0.1595 0.5000  0.00
Na: 0.1595 0.8405 0.5000  0.00
Na: 0.5000 0.5000 0.5000  0.00
Rh: 0.3329 0.6671 0.0000  0.12
Rh: 0.6671 0.3329 0.0000  0.12

Properties
Mass density ... 4.3 g/cm³
Symmetry ... No. 12
Raw formation energy ... -1049 meV per atom
D(E_F) ... 6.06 states/eV/f.u.

Record 2
A geometry-optimized NaCe2Sb3Rh4 structure. Source: Alexandria via LeMat-Bulk, functional PBE.

a = 4.2269 Å, b = 4.2269 Å, c = 11.8230 Å
α = 90.00°, β = 90.00°, γ = 90.00°
Last column: magnetic moment on the atom in μB.
Sites, in units of the cell vectors:
Ce: 0.0000 0.5000 0.7431  0.60
Ce: 0.5000 0.0000 0.2569  0.60
Rh: 0.5000 0.0000 0.6553  -0.06
Rh: 0.0000 0.0000 0.0000  -0.02
Rh: 0.0000 0.5000 0.3447  -0.06
Rh: 0.5000 0.5000 0.0000  0.00
Sb: 0.0000 0.0000 0.5000  -0.01
Sb: 0.5000 0.0000 0.8704  -0.01
Sb: 0.0000 0.5000 0.1296  -0.01
Na: 0.5000 0.5000 0.5000  0.01

Properties
Mass density ... 8.5 g/cm³
Symmetry ... No. 115
Raw formation energy ... -664 meV per atom
D(E_F) ... 11.43 states/eV/f.u.

Record 3
A geometry-optimized Na3CeRh2Se6 structure. Source: Alexandria via LeMat-Bulk, functional PBE.

a = 6.6334 Å, b = 6.6334 Å, c = 7.4683 Å
α = 98.65°, β = 98.65°, γ = 119.99°
Last column: magnetic moment on the atom in μB.
Sites, in units of the cell vectors:
Se: 0.0710 0.4436 0.2096  0.00
Se: 0.5564 0.9290 0.7904  0.00
Se: 0.3017 0.3017 0.7909  0.00
Se: 0.6983 0.6983 0.2091  0.00
Se: 0.4436 0.0710 0.2096  0.00
Se: 0.9290 0.5564 0.7904  0.00
Rh: 0.3327 0.6673 0.0000  0.10
Rh: 0.6673 0.3327 0.0000  0.10
Na: 0.5000 0.5000 0.5000  0.00
Na: 0.8427 0.1573 0.5000  0.00
Na: 0.1573 0.8427 0.5000  0.00
Ce: 0.0000 0.0000 0.0000  0.50

Properties
Mass density ... 5.4 g/cm³
Symmetry ... No. 12
Raw formation energy ... -969 meV per atom
D(E_F) ... 6.35 states/eV/f.u.

Record 4
A geometry-optimized Na3Ce2RhSe6 structure. Source: Alexandria via LeMat-Bulk, functional PBE.

a = 7.0238 Å, b = 7.0238 Å, c = 7.4456 Å
α = 99.07°, β = 99.07°, γ = 119.98°
Last column: magnetic moment on the atom in μB.
Sites, in units of the cell vectors:
Na: 0.1680 0.8320 0.5000  0.00
Na: 0.8320 0.1680 0.5000  0.00
Na: 0.5000 0.5000 0.5000  0.00
Se: 0.0763 0.3818 0.2264  0.00
Se: 0.7709 0.7709 0.2214  -0.01
Se: 0.6182 0.9237 0.7736  0.00
Se: 0.3818 0.0763 0.2264  0.00
Se: 0.2291 0.2291 0.7786  -0.01
Se: 0.9237 0.6182 0.7736  0.00
Ce: 0.6671 0.3329 0.0000  0.71
Ce: 0.3329 0.6671 0.0000  0.71
Rh: 0.0000 0.0000 0.0000  0.44

Properties
Mass density ... 5.1 g/cm³
Symmetry ... No. 12
Raw formation energy ... -1244 meV per atom
D(E_F) ... 16.01 states/eV/f.u.

Record 5
A geometry-optimized NaCeRu structure. Source: Alexandria via LeMat-Bulk, functional PBE.

a = 5.2533 Å, b = 3.7539 Å, c = 11.9389 Å
α = 81.19°, β = 90.00°, γ = 134.40°
Sites, in units of the cell vectors:
Ru: 0.8523 0.7047 0.8477
Ru: 0.1477 0.2953 0.1523
Ce: 0.7083 0.4166 0.1128
Ce: 0.2917 0.5834 0.8872
Na: 0.2969 0.5938 0.3825
Na: 0.7031 0.4062 0.6175

Properties
Mass density ... 5.3 g/cm³
Symmetry ... No. 12
Formation energy from the elements ... -0.057 eV per atom
D(E_F) ... 2.44 states/eV/f.u.

Record 6
A geometry-optimized NaCe6S8 structure. Source: Alexandria via LeMat-Bulk, functional PBE.

a = 8.4553 Å, b = 8.4553 Å, c = 7.5296 Å
α = 55.84°, β = 55.84°, γ = 60.00°
Last column: magnetic moment on the atom in μB.
Sites, in units of the cell vectors:
S: 0.6370 0.1909 0.2685  -0.03
S: 0.9036 0.6370 0.2685  -0.03
S: 0.1909 0.9036 0.2685  -0.03
S: 0.0964 0.3630 0.7315  -0.03
S: 0.3316 0.3316 0.0052  -0.03
S: 0.8091 0.0964 0.7315  -0.03
S: 0.6684 0.6684 0.9948  -0.03
S: 0.3630 0.8091 0.7315  -0.03
Ce: 0.4617 0.0734 0.7626  1.03
Ce: 0.0734 0.7022 0.7626  1.03
Ce: 0.2978 0.5383 0.2374  1.03
Ce: 0.7022 0.4617 0.7626  1.03
Ce: 0.5383 0.9266 0.2374  1.03
Ce: 0.9266 0.2978 0.2374  1.03
Na: 0.0000 0.0000 0.0000  0.00

Properties
Mass density ... 5.2 g/cm³
Symmetry ... No. 148
Raw formation energy ... -1845 meV per atom
D(E_F) ... 36.99 states/eV/f.u.

Record 7
A geometry-optimized Na4Ce3S8 structure. Source: Alexandria via LeMat-Bulk, functional PBE.

a = 8.1724 Å, b = 8.1724 Å, c = 8.5159 Å
α = 61.33°, β = 61.33°, γ = 60.00°
Sites, in units of the cell vectors:
S: 0.7463 0.7463 0.2908
S: 0.7463 0.2167 0.2908
S: 0.7833 0.2537 0.7092
S: 0.2167 0.7463 0.2908
S: 0.2537 0.2537 0.7092
S: 0.7667 0.7667 0.6999
S: 0.2333 0.2333 0.3001
S: 0.2537 0.7833 0.7092
Na: 0.6401 0.6401 0.0798
Na: 0.3599 0.3599 0.9202
Na: 0.5000 0.5000 0.5000
Na: 0.0000 0.0000 0.0000
Ce: 0.5000 0.0000 0.5000
Ce: 0.0000 0.5000 0.5000
Ce: 0.0000 0.0000 0.5000

Properties
Mass density ... 3.1 g/cm³
Symmetry ... No. 166
Raw formation energy ... -1533 meV per atom

Record 8
A geometry-optimized NaCe6S8 structure. Source: Alexandria via LeMat-Bulk, functional PBE.

a = 8.0239 Å, b = 8.0239 Å, c = 8.0239 Å
α = 60.00°, β = 60.00°, γ = 60.00°
Last column: magnetic moment on the atom in μB.
Sites, in units of the cell vectors:
S: 0.2501 0.7499 0.2501  -0.03
S: 0.7499 0.7499 0.2501  -0.03
S: 0.2501 0.7499 0.7499  -0.03
S: 0.7499 0.2501 0.2501  -0.03
S: 0.2500 0.2500 0.2500  -0.04
S: 0.7499 0.2501 0.7499  -0.03
S: 0.7500 0.7500 0.7500  -0.04
S: 0.2501 0.2501 0.7499  -0.03
Na: 0.0000 0.0000 0.0000  0.00
Ce: 0.5000 0.0000 0.5000  0.81
Ce: 0.0000 0.0000 0.5000  0.81
Ce: 0.0000 0.5000 0.5000  0.81
Ce: 0.0000 0.5000 0.0000  0.81
Ce: 0.5000 0.0000 0.0000  0.81
Ce: 0.5000 0.5000 0.0000  0.81

Properties
Mass density ... 5.1 g/cm³
Symmetry ... No. 225
Raw formation energy ... -1908 meV per atom
D(E_F) ... 33.82 states/eV/f.u.

Record 9
A geometry-optimized NaCeS structure. Source: Alexandria via LeMat-Bulk, functional PBE.

a = 7.7755 Å, b = 9.3976 Å, c = 7.2825 Å
α = 130.18°, β = 90.00°, γ = 90.00°
Last column: magnetic moment on the atom in μB.
Sites, in units of the cell vectors:
S: 0.7858 0.1063 0.0000  -0.01
S: 0.2858 0.3937 0.0000  -0.01
S: 0.2142 0.8937 0.0000  -0.01
S: 0.7142 0.6063 0.0000  -0.01
Na: 0.5000 0.3153 0.6306  0.00
Na: 0.0000 0.8153 0.6306  0.00
Na: 0.5000 0.6847 0.3694  0.00
Na: 0.0000 0.1847 0.3694  0.00
Ce: 0.0700 0.6282 0.0000  0.88
Ce: 0.5700 0.8718 0.0000  0.88
Ce: 0.9300 0.3718 0.0000  0.88
Ce: 0.4300 0.1282 0.0000  0.88

Properties
Mass density ... 3.2 g/cm³
Symmetry ... No. 64
Raw formation energy ... -713 meV per atom
D(E_F) ... 5.95 states/eV/f.u.

Record 10
A geometry-optimized NaCeS2 structure. Source: Alexandria via LeMat-Bulk, functional PBE.

a = 4.1359 Å, b = 4.1359 Å, c = 7.0685 Å
α = 72.99°, β = 72.99°, γ = 60.00°
Last column: magnetic moment on the atom in μB.
Sites, in units of the cell vectors:
S: 0.7442 0.7442 0.7673  -0.02
S: 0.2558 0.2558 0.2327  -0.02
Na: 0.5000 0.5000 0.5000  0.00
Ce: 0.0000 0.0000 0.0000  0.92

Properties
Mass density ... 3.8 g/cm³
Symmetry ... No. 166
Raw formation energy ... -1737 meV per atom
D(E_F) ... 4.87 states/eV/f.u.

Record 11
A geometry-optimized NaCeS2 structure. Source: Alexandria via LeMat-Bulk, functional PBE.

a = 4.0860 Å, b = 4.0860 Å, c = 5.5802 Å
α = 90.00°, β = 90.00°, γ = 90.00°
Last column: magnetic moment on the atom in μB.
Sites, in units of the cell vectors:
Ce: 0.5000 0.5000 0.5000  0.81
S: 0.5000 0.5000 0.0000  -0.02
S: 0.0000 0.0000 0.5000  -0.02
Na: 0.0000 0.0000 0.0000  0.00

Properties
Mass density ... 4.1 g/cm³
Symmetry ... No. 123
Raw formation energy ... -1674 meV per atom
D(E_F) ... 6.46 states/eV/f.u.

Record 12
A geometry-optimized NaCeS2 structure. Source: Alexandria via LeMat-Bulk, functional PBE.

a = 4.0894 Å, b = 4.0894 Å, c = 7.3858 Å
α = 73.93°, β = 73.93°, γ = 60.00°
Last column: magnetic moment on the atom in μB.
Sites, in units of the cell vectors:
S: 0.0770 0.0770 0.7691  -0.02
S: 0.2594 0.2594 0.2218  -0.02
Ce: 0.6681 0.6681 0.9957  0.92
Na: 0.4955 0.4955 0.5134  0.00

Properties
Mass density ... 3.7 g/cm³
Symmetry ... No. 160
Raw formation energy ... -1685 meV per atom
D(E_F) ... 5.62 states/eV/f.u.

> Which formula does entry 1 have?

Na3CeRh2S6